! PmMgO3 PBE optimized geometry; values from VASP
&SYSTEM
  ibrav = 0, nat = 10, ntyp = 3
/
ATOMIC_SPECIES
Mg 24.30 Mg.upf
O 16.00 O.upf
Pm 145.00 Pm.upf
CELL_PARAMETERS angstrom
1.8051 -4.4897 -2.2959
5.3159 -0.6282 -0.1808
2.0889 -3.6909 3.2712
ATOMIC_POSITIONS angstrom
Mg 0.0000 0.0000 0.0000
Mg 4.6049 -4.4044 0.3973
O 3.4943 -4.1724 -1.2588
O 6.1777 -4.4149 -0.8501
O 4.9859 -2.4446 0.6073
O 4.2240 -6.3641 0.1872
O 3.0321 -4.3938 1.6446
O 5.7155 -4.6363 2.0533
Pm 2.3025 -2.2022 0.1986
Pm 6.9074 -6.6065 0.5959
! Total DFT energy (no corrections) ... -68.1 eV per cell
! Calculated density ... 6.17 g cm⁻³